(1)
Here is a relaxed structure of TbPmAu3 from the Alexandria database. Energies are from PBE-GGA.

Geometry as extended XYZ:
```
20
Lattice="7.801 0.001 0.000 -0.001 8.500 1.719 -0.001 3.409 7.973" Properties=species:S:1:pos:R:3 pbc="T T T"
Tb 1.950 8.052 2.270
Tb 5.850 3.857 7.424
Tb 1.950 5.602 5.280
Tb 5.850 6.307 4.414
Pm 5.851 3.793 0.928
Pm 5.850 10.231 6.168
Pm 1.949 8.116 8.765
Pm 1.950 1.678 3.525
Au 3.413 5.520 7.957
Au 0.486 2.997 5.903
Au 4.387 6.389 1.736
Au 7.313 8.913 3.790
Au 7.314 6.389 1.736
Au 4.387 8.912 3.790
Au 0.486 5.520 7.957
Au 3.413 2.997 5.903
Au 3.900 4.098 3.336
Au -0.001 7.811 6.357
Au 3.900 7.811 6.358
Au 7.801 4.098 3.336
```

Its space-group type is Cmcm, No. 63. Its total moment is 0.00 μB/f.u. For the formation energy, the calculation gives -0.76 eV per atom.

(2)
Here is a relaxed structure of TbPmTcAu from the Alexandria database. Energies are from PBE-GGA.

Geometry as extended XYZ:
```
4
Lattice="5.031 0.000 0.000 2.515 4.357 0.000 2.515 1.452 4.108" Properties=species:S:1:pos:R:3 pbc="T T T"
Tb 5.031 2.904 2.054
Au 2.515 1.452 1.027
Tc 7.546 4.357 3.081
Pm 0.000 0.000 0.000
```

Its space-group type is F-43m, No. 216. Its total moment is 0.00 μB/f.u. For the formation energy, the calculation gives -0.28 eV per atom.

(3)
Here is a relaxed structure of TbPmZnAu from the Alexandria database. Energies are from PBE-GGA.

Geometry as extended XYZ:
```
4
Lattice="5.152 0.000 0.000 2.576 4.462 0.000 2.576 1.487 4.207" Properties=species:S:1:pos:R:3 pbc="T T T"
Tb 2.576 1.487 1.052
Zn 0.000 0.000 0.000
Au 5.152 2.975 2.103
Pm 7.729 4.462 3.155
```

Its space-group type is F-43m, No. 216. Its total moment is 0.00 μB/f.u. For the formation energy, the calculation gives -0.56 eV per atom.

(4)
Here is a relaxed structure of TbPmZnAu from the Alexandria database. Energies are from PBE-GGA.

Geometry as extended XYZ:
```
4
Lattice="3.659 0.000 0.000 0.000 3.659 0.000 0.000 0.000 7.176" Properties=species:S:1:pos:R:3 pbc="T T T"
Tb 1.829 1.829 0.765
Pm 1.829 1.829 4.386
Zn 0.000 0.000 6.226
Au 0.000 0.000 2.456
```

Its space-group type is P4mm, No. 99. Its total moment is 0.00 μB/f.u. For the formation energy, the calculation gives -0.58 eV per atom.

(5)
Here is a relaxed structure of Pm8TcAu2 from the Alexandria database. Energies are from PBE-GGA.

Geometry as extended XYZ:
```
11
Lattice="5.828 -0.151 -1.118 -2.216 7.133 -3.458 -0.178 -0.564 8.210" Properties=species:S:1:pos:R:3 pbc="T T T"
Pm 2.713 2.223 -0.983
Pm 3.184 0.444 1.713
Pm 0.215 2.387 1.537
Pm 5.206 0.817 4.737
Pm 3.989 5.414 -2.233
Pm 3.172 4.096 2.148
Pm 0.075 6.018 1.956
Pm 0.551 4.217 4.686
Tc 0.423 0.032 -0.053
Au 1.282 4.808 -0.500
Au 2.103 1.705 4.205
```

Its space-group type is Cm, No. 8. Its total moment is 0.00 μB/f.u. For the formation energy, the calculation gives -0.18 eV per atom.

(6)
Here is a relaxed structure of PmTmTcAu from the Alexandria database. Energies are from PBE-GGA.

Geometry as extended XYZ:
```
4
Lattice="-0.192 -3.348 -3.693 3.997 -2.797 -1.041 -0.025 -4.876 1.053" Properties=species:S:1:pos:R:3 pbc="T T T"
Tm 2.834 -8.265 -2.761
Au 0.000 0.000 0.000
Tc 1.890 -5.510 -1.841
Pm 0.945 -2.755 -0.920
```

Its space-group type is F-43m, No. 216. Its total moment is 0.00 μB/f.u. For the formation energy, the calculation gives -0.31 eV per atom.

(7)
Here is a relaxed structure of Pm7Te2Au2 from the Alexandria database. Energies are from PBE-GGA.

Geometry as extended XYZ:
```
11
Lattice="-1.467 -2.000 3.317 1.265 -9.352 -2.492 7.908 -4.713 3.242" Properties=species:S:1:pos:R:3 pbc="T T T"
Pm 1.162 -3.734 3.435
Pm 6.192 -9.612 4.702
Pm 7.053 -5.798 4.797
Pm 1.843 -7.038 1.745
Pm 4.460 -10.006 1.113
Pm 7.905 -11.380 1.808
Pm 4.685 -4.239 2.103
Te 2.858 -8.239 -1.116
Te 4.829 -7.351 2.876
Au 5.259 -12.639 2.465
Au 1.158 -4.325 0.491
```

Its space-group type is Imm2, No. 44. Its total moment is 0.00 μB/f.u. The formation energy without anion corrections comes out at -0.816 eV per atom.

(8)
Here is a relaxed structure of Pm5Te3Au from the Alexandria database. Energies are from PBE-GGA.

Geometry as extended XYZ:
```
18
Lattice="-4.368 -4.097 -2.335 6.716 -4.222 -5.157 -1.840 -3.037 8.771" Properties=species:S:1:pos:R:3 pbc="T T T"
Pm 1.012 -3.432 4.128
Pm 1.680 -5.876 -1.682
Pm 3.864 -3.827 -0.515
Pm -1.172 -5.480 2.961
Pm 1.616 -6.149 -5.508
Pm -1.952 -5.043 -0.770
Pm -4.617 -5.285 4.638
Pm 0.731 -2.171 -1.984
Pm 2.460 -6.313 2.049
Pm -1.592 -1.849 1.797
Te -0.707 -4.688 -3.724
Te -0.266 -7.554 0.480
Te -3.980 -4.235 1.605
Te 3.054 -3.631 -3.768
Te 0.774 -3.802 0.799
Te -2.228 -2.899 4.831
Au 0.000 0.000 0.000
Au -2.184 -2.048 -1.167
```

Its space-group type is P6_3/mcm, No. 193. Its total moment is 0.01 μB/f.u. The formation energy without anion corrections comes out at -1.080 eV per atom.

(9)
Here is a relaxed structure of Pm2TeAu from the Alexandria database. Energies are from PBE-GGA.

Geometry as extended XYZ:
```
4
Lattice="3.857 0.000 0.000 0.000 3.857 0.000 0.000 0.000 7.251" Properties=species:S:1:pos:R:3 pbc="T T T"
Te 1.929 1.929 3.626
Au 1.929 1.929 0.000
Pm 0.000 0.000 5.492
Pm 0.000 0.000 1.759
```

Its space-group type is P4/mmm, No. 123. Its total moment is 0.42 μB/f.u. The formation energy without anion corrections comes out at -0.958 eV per atom.

(10)
Here is a relaxed structure of Pm2Te4Au from the Alexandria database. Energies are from PBE-GGA.

Geometry as extended XYZ:
```
14
Lattice="7.833 0.000 0.205 0.000 6.296 0.000 -2.653 0.000 8.461" Properties=species:S:1:pos:R:3 pbc="T T T"
Pm 5.954 4.722 0.770
Pm -0.774 1.574 7.895
Pm 0.881 1.574 3.783
Pm 4.299 4.722 4.882
Te 3.405 3.108 2.195
Te -1.730 4.722 7.277
Te 6.910 1.574 1.389
Te 3.405 0.040 2.195
Te 5.669 1.574 5.064
Te 1.775 6.256 6.470
Te 1.775 3.187 6.470
Te -0.489 4.722 3.601
Au 1.145 4.722 1.478
Au 4.036 1.574 7.188
```

Its space-group type is P2_1/m, No. 11. Its total moment is 0.00 μB/f.u. The formation energy without anion corrections comes out at -0.986 eV per atom.

(11)
Here is a relaxed structure of Pm2Te5Au from the Alexandria database. Energies are from PBE-GGA.

Geometry as extended XYZ:
```
16
Lattice="6.260 0.000 0.000 -3.130 7.066 0.000 0.000 0.000 13.679" Properties=species:S:1:pos:R:3 pbc="T T T"
Pm 3.130 4.568 5.754
Pm 3.130 4.568 1.085
Pm 0.000 2.498 7.925
Pm 0.000 2.498 12.594
Te 3.130 6.432 12.223
Te 3.130 6.432 8.296
Te 0.000 4.515 5.475
Te 0.000 4.515 1.364
Te 3.130 2.495 3.420
Te 0.000 4.572 10.259
Te 3.130 2.551 8.204
Te 3.130 2.551 12.315
Te 0.000 0.634 1.456
Te 0.000 0.634 5.384
Au 3.130 4.489 10.259
Au 0.000 2.577 3.420
```

Its space-group type is Cmcm, No. 63. Its total moment is 0.00 μB/f.u. The formation energy without anion corrections comes out at -0.712 eV per atom.

Calculated total energy, -92.1; -24.1; -16.2; -16.2; -56.9; -24.1; -55.1; -92.3; -19.8; -64.5; -68.4 eV per cell (same order as the records).